[1]
Entry from Alexandria via LeMat-Bulk: a relaxed structure of IrOsRu2 (PBE).

The structure belongs to space group P2/m (No. 10); the cell edges are 2.7054, 4.5250 and 4.8136 Å and the angles 90.00°, 91.77° and 90.00°. The asymmetric unit holds Ir at (0.0000, 0.0000, 0.0000), Os at (0.5000, 0.0000, 0.5000) and Ru at (0.1357, 0.5000, 0.7466).

Its total energy is -9.154 eV/atom. The calculation puts the formation energy at 0.507 eV/atom. For the relative energy among the computed polymorphs, the calculation gives 513 meV per atom. The value obtained for the density of states at the Fermi level is 5.7 states/eV/cell.

***

[2]
Entry from Alexandria via LeMat-Bulk: a relaxed structure of La2InCl (PBE).

The structure belongs to space group R3m (No. 160, hexagonal axes); the cell edges are 3.8325, 3.8325 and 28.0223 Å and the angles 90.00°, 90.00° and 120.00°. The asymmetric unit holds La at (0.0000, 0.0000, 0.0000), La at (0.0000, 0.0000, 0.1573), In at (0.0000, 0.0000, 0.5784) and Cl at (0.0000, 0.0000, 0.4121).

Its total energy is -4.555 eV/atom. For the relative energy among the computed polymorphs, the calculation gives 55 meV per atom. The value obtained for the density of states at the Fermi level is 7.1 states/eV/cell. The value obtained for the uncorrected formation energy is -3.8 eV/f.u.

***

[3]
Entry from Alexandria via LeMat-Bulk: a relaxed structure of AgPtCl (PBE).

The structure belongs to space group P-6m2 (No. 187); the cell edges are 4.4767, 4.4767 and 3.0725 Å and the angles 90.00°, 90.00° and 120.00°. The asymmetric unit holds Ag at (0.0000, 0.0000, 0.0000), Pt at (0.3333, 0.6667, 0.5000) and Cl at (0.6667, 0.3333, 0.5000).

Its total energy is -3.232 eV/atom. For the relative energy among the computed polymorphs, the calculation gives 91 meV per atom. The value obtained for the density of states at the Fermi level is 1.7 states/eV/cell. The value obtained for the uncorrected formation energy is 1.0 eV/f.u.